(1)
The following is a GGA-PBE calculation of a relaxed Ba3HO2 crystal, from Alexandria via LeMat-Bulk.

**Space group**: Immm, No. 71
**Total DFT energy (no corrections)**: -4.872 eV/atom

Cell: 3.9606 5.6378 12.0930 Å, 90.00 90.00 90.00°
Fractional coordinates of all 12 atoms:
Ba1 0.0000 0.0000 0.0000
Ba2 0.0000 0.0000 0.3199
Ba3 0.0000 0.0000 0.6801
Ba4 0.5000 0.5000 0.1801
Ba5 0.5000 0.5000 0.5000
Ba6 0.5000 0.5000 0.8199
H1 0.0000 0.5000 0.0000
H2 0.5000 0.0000 0.5000
O1 0.0000 0.5000 0.3314
O2 0.0000 0.5000 0.6686
O3 0.5000 0.0000 0.1686
O4 0.5000 0.0000 0.8314

***

(2)
The following is a GGA-PBE calculation of a relaxed BaHO2 crystal, from Alexandria via LeMat-Bulk.

**Space group**: I4_1/amd, No. 141
**Total DFT energy (no corrections)**: -4.693 eV/atom

Cell: 4.4170 4.4170 10.2178 Å, 90.00 90.00 90.00°
Fractional coordinates of all 16 atoms:
Ba1 0.0000 0.2500 0.3750
Ba2 0.0000 0.7500 0.6250
Ba3 0.5000 0.2500 0.1250
Ba4 0.5000 0.7500 0.8750
H1 0.0000 0.2500 0.8750
H2 0.0000 0.7500 0.1250
H3 0.5000 0.2500 0.6250
H4 0.5000 0.7500 0.3750
O1 0.0000 0.0000 0.0000
O2 0.0000 0.5000 0.0000
O3 0.2500 0.2500 0.7500
O4 0.2500 0.7500 0.2500
O5 0.5000 0.0000 0.5000
O6 0.5000 0.5000 0.5000
O7 0.7500 0.2500 0.7500
O8 0.7500 0.7500 0.2500

***

(3)
The following is a GGA-PBE calculation of a relaxed Ba5HO4 crystal, from Alexandria via LeMat-Bulk.

**Space group**: C2/m, No. 12
**Total DFT energy (no corrections)**: -5.299 eV/atom

Cell: 6.9014 6.9014 9.7996 Å, 118.46 118.46 33.42°
Fractional coordinates of all 10 atoms:
Ba1 0.0000 0.0000 0.0000
Ba2 0.2056 0.2056 0.8106
Ba3 0.3946 0.3946 0.6111
Ba4 0.6054 0.6054 0.3889
Ba5 0.7944 0.7944 0.1894
H1 0.0000 0.0000 0.5000
O1 0.1996 0.1996 0.3054
O2 0.3978 0.3978 0.0995
O3 0.6022 0.6022 0.9005
O4 0.8004 0.8004 0.6946

***

(4)
The following is a GGA-PBE calculation of a relaxed BaH4O6 crystal, from Alexandria via LeMat-Bulk.

**Space group**: C2/c, No. 15
**Total DFT energy (no corrections)**: -5.053 eV/atom
**Energy relative to the lowest polymorph listed for this composition**: 89 meV/atom

Cell: 6.1053 6.1053 6.4358 Å, 92.96 92.96 92.73°
Fractional coordinates of all 22 atoms:
Ba1 0.1954 0.8046 0.7500
Ba2 0.8046 0.1954 0.2500
H1 0.0144 0.6686 0.2349
H2 0.2621 0.3531 0.0728
H3 0.3314 0.9856 0.2651
H4 0.3531 0.2621 0.5728
H5 0.6469 0.7379 0.4272
H6 0.6686 0.0144 0.7349
H7 0.7379 0.6469 0.9272
H8 0.9856 0.3314 0.7651
O1 0.0458 0.2273 0.6414
O2 0.0938 0.5291 0.0776
O3 0.2255 0.3696 0.5680
O4 0.2273 0.0458 0.1414
O5 0.3696 0.2255 0.0680
O6 0.4709 0.9062 0.4224
O7 0.5291 0.0938 0.5776
O8 0.6304 0.7745 0.9320
O9 0.7727 0.9542 0.8586
O10 0.7745 0.6304 0.4320
O11 0.9062 0.4709 0.9224
O12 0.9542 0.7727 0.3586

***

(5)
The following is a GGA-PBE calculation of a relaxed Ba6H2O crystal, from Alexandria via LeMat-Bulk.

**Space group**: C2/c, No. 15
**Total DFT energy (no corrections)**: -3.231 eV/atom

Cell: 10.8767 10.8767 7.0761 Å, 103.75 103.75 92.57°
Fractional coordinates of all 18 atoms:
Ba1 0.0209 0.1770 0.0752
Ba2 0.1501 0.5798 0.3704
Ba3 0.1770 0.0209 0.5752
Ba4 0.2971 0.4276 0.8879
Ba5 0.4202 0.8499 0.1296
Ba6 0.4276 0.2971 0.3879
Ba7 0.5724 0.7029 0.6121
Ba8 0.5798 0.1501 0.8704
Ba9 0.7029 0.5724 0.1121
Ba10 0.8230 0.9791 0.4248
Ba11 0.8499 0.4202 0.6296
Ba12 0.9791 0.8230 0.9248
H1 0.2166 0.3659 0.1804
H2 0.3659 0.2166 0.6804
H3 0.6341 0.7834 0.3196
H4 0.7834 0.6341 0.8196
O1 0.0017 0.9983 0.2500
O2 0.9983 0.0017 0.7500

***

(6)
The following is a GGA-PBE calculation of a relaxed Ba2H2O crystal, from Alexandria via LeMat-Bulk.

**Space group**: Pbcm, No. 57
**Total DFT energy (no corrections)**: -4.359 eV/atom

Cell: 10.9492 6.9057 6.6819 Å, 90.00 90.00 90.00°
Fractional coordinates of all 20 atoms:
Ba1 0.1161 0.0678 0.2500
Ba2 0.1161 0.4322 0.7500
Ba3 0.3835 0.0676 0.7500
Ba4 0.3835 0.4324 0.2500
Ba5 0.6165 0.5676 0.7500
Ba6 0.6165 0.9324 0.2500
Ba7 0.8839 0.5678 0.2500
Ba8 0.8839 0.9322 0.7500
H1 0.0539 0.7500 0.0000
H2 0.0539 0.7500 0.5000
H3 0.4468 0.7500 0.0000
H4 0.4468 0.7500 0.5000
H5 0.5532 0.2500 0.0000
H6 0.5532 0.2500 0.5000
H7 0.9461 0.2500 0.0000
H8 0.9461 0.2500 0.5000
O1 0.2497 0.2500 0.0000
O2 0.2497 0.2500 0.5000
O3 0.7503 0.7500 0.0000
O4 0.7503 0.7500 0.5000

***

(7)
The following is a GGA-PBE calculation of a relaxed Ba3HO3 crystal, from Alexandria via LeMat-Bulk.

**Space group**: Cmce, No. 64
**Total DFT energy (no corrections)**: -5.251 eV/atom

Cell: 8.9132 8.9132 10.6858 Å, 90.00 90.00 45.11°
Fractional coordinates of all 28 atoms:
Ba1 0.0428 0.6241 0.1269
Ba2 0.1241 0.5428 0.6269
Ba3 0.2279 0.7721 0.8802
Ba4 0.2721 0.7279 0.3802
Ba5 0.3759 0.9572 0.1269
Ba6 0.4572 0.8759 0.6269
Ba7 0.5428 0.1241 0.3731
Ba8 0.6241 0.0428 0.8731
Ba9 0.7279 0.2721 0.6198
Ba10 0.7721 0.2279 0.1198
Ba11 0.8759 0.4572 0.3731
Ba12 0.9572 0.3759 0.8731
H1 0.0966 0.0966 0.5000
H2 0.4034 0.4034 0.0000
H3 0.5966 0.5966 0.0000
H4 0.9034 0.9034 0.5000
O1 0.0009 0.3405 0.1289
O2 0.1562 0.8438 0.1374
O3 0.1595 0.4991 0.3711
O4 0.3405 0.0009 0.8711
O5 0.3438 0.6562 0.6374
O6 0.4991 0.1595 0.6289
O7 0.5009 0.8405 0.3711
O8 0.6562 0.3438 0.3626
O9 0.6595 0.9991 0.1289
O10 0.8405 0.5009 0.6289
O11 0.8438 0.1562 0.8626
O12 0.9991 0.6595 0.8711

***

(8)
The following is a GGA-PBE calculation of a relaxed Ba3HO crystal, from Alexandria via LeMat-Bulk.

**Space group**: Pm-3m, No. 221
**Total DFT energy (no corrections)**: -3.438 eV/atom
**Energy relative to the lowest polymorph listed for this composition**: 0 meV/atom

Cell: 5.4915 5.4915 5.4915 Å, 90.00 90.00 90.00°
Fractional coordinates of all 5 atoms:
Ba1 0.0000 0.0000 0.5000
Ba2 0.0000 0.5000 0.0000
Ba3 0.5000 0.0000 0.0000
H1 0.5000 0.5000 0.5000
O1 0.0000 0.0000 0.0000

***

(9)
The following is a GGA-PBE calculation of a relaxed Ba2HO crystal, from Alexandria via LeMat-Bulk.

**Space group**: Fm-3m, No. 225
**Total DFT energy (no corrections)**: -4.053 eV/atom
**Energy relative to the lowest polymorph listed for this composition**: 316 meV/atom

Cell: 6.8519 6.8519 6.8519 Å, 90.00 90.00 90.00°
Fractional coordinates of all 16 atoms:
Ba1 0.2500 0.2500 0.2500
Ba2 0.2500 0.2500 0.7500
Ba3 0.2500 0.7500 0.2500
Ba4 0.2500 0.7500 0.7500
Ba5 0.7500 0.2500 0.2500
Ba6 0.7500 0.2500 0.7500
Ba7 0.7500 0.7500 0.2500
Ba8 0.7500 0.7500 0.7500
H1 0.0000 0.0000 0.0000
H2 0.0000 0.5000 0.5000
H3 0.5000 0.0000 0.5000
H4 0.5000 0.5000 0.0000
O1 0.0000 0.0000 0.5000
O2 0.0000 0.5000 0.0000
O3 0.5000 0.0000 0.0000
O4 0.5000 0.5000 0.5000

***

(10)
The following is a GGA-PBE calculation of a relaxed BaH8O5 crystal, from Alexandria via LeMat-Bulk.

**Space group**: Pnma, No. 62
**Total DFT energy (no corrections)**: -5.165 eV/atom

Cell: 7.6262 11.4589 6.0131 Å, 90.00 90.00 90.00°
Fractional coordinates of all 56 atoms:
Ba1 0.0421 0.2500 0.0770
Ba2 0.4579 0.7500 0.5770
Ba3 0.5421 0.2500 0.4230
Ba4 0.9579 0.7500 0.9230
H1 0.0354 0.5268 0.2648
H2 0.0354 0.9732 0.2648
H3 0.0404 0.6810 0.4001
H4 0.0404 0.8190 0.4001
H5 0.1727 0.0835 0.5145
H6 0.1727 0.4165 0.5145
H7 0.1960 0.5231 0.8287
H8 0.1960 0.9769 0.8287
H9 0.3040 0.0231 0.3287
H10 0.3040 0.4769 0.3287
H11 0.3273 0.5835 0.0145
H12 0.3273 0.9165 0.0145
H13 0.4596 0.1810 0.9001
H14 0.4596 0.3190 0.9001
H15 0.4646 0.0268 0.7648
H16 0.4646 0.4732 0.7648
H17 0.5354 0.5268 0.2352
H18 0.5354 0.9732 0.2352
H19 0.5404 0.6810 0.0999
H20 0.5404 0.8190 0.0999
H21 0.6727 0.0835 0.9855
H22 0.6727 0.4165 0.9855
H23 0.6960 0.5231 0.6713
H24 0.6960 0.9769 0.6713
H25 0.8040 0.0231 0.1713
H26 0.8040 0.4769 0.1713
H27 0.8273 0.5835 0.4855
H28 0.8273 0.9165 0.4855
H29 0.9596 0.1810 0.5999
H30 0.9596 0.3190 0.5999
H31 0.9646 0.0268 0.7352
H32 0.9646 0.4732 0.7352
O1 0.0634 0.0810 0.7486
O2 0.0634 0.4190 0.7486
O3 0.0969 0.7500 0.4783
O4 0.2311 0.0955 0.3636
O5 0.2311 0.4045 0.3636
O6 0.2689 0.5955 0.8636
O7 0.2689 0.9045 0.8636
O8 0.4031 0.2500 0.9783
O9 0.4366 0.5810 0.2486
O10 0.4366 0.9190 0.2486
O11 0.5634 0.0810 0.7514
O12 0.5634 0.4190 0.7514
O13 0.5969 0.7500 0.0217
O14 0.7311 0.0955 0.1364
O15 0.7311 0.4045 0.1364
O16 0.7689 0.5955 0.6364
O17 0.7689 0.9045 0.6364
O18 0.9031 0.2500 0.5217
O19 0.9366 0.5810 0.2514
O20 0.9366 0.9190 0.2514

***

(11)
The following is a GGA-PBE calculation of a relaxed Ba2HO crystal, from Alexandria via LeMat-Bulk.

**Space group**: R3m, No. 160
**Total DFT energy (no corrections)**: -4.344 eV/atom
**Energy relative to the lowest polymorph listed for this composition**: 25 meV/atom

Cell: 3.9386 3.9386 20.5126 Å, 90.00 90.00 120.00°
Fractional coordinates of all 12 atoms:
Ba1 0.0000 0.0000 0.0000
Ba2 0.0000 0.0000 0.1794
Ba3 0.3333 0.6667 0.6667
Ba4 0.3333 0.6667 0.8461
Ba5 0.6667 0.3333 0.3333
Ba6 0.6667 0.3333 0.5127
H1 0.0000 0.0000 0.7600
H2 0.3333 0.6667 0.4267
H3 0.6667 0.3333 0.0933
O1 0.0000 0.0000 0.5963
O2 0.3333 0.6667 0.2630
O3 0.6667 0.3333 0.9296

***

(12)
The following is a GGA-PBE calculation of a relaxed Ba4HO2 crystal, from Alexandria via LeMat-Bulk.

**Space group**: I4/mmm, No. 139
**Total DFT energy (no corrections)**: -4.303 eV/atom

Cell: 5.0381 5.0381 21.7597 Å, 90.00 90.00 90.00°
Fractional coordinates of all 14 atoms:
Ba1 0.0000 0.0000 0.1723
Ba2 0.0000 0.0000 0.8277
Ba3 0.0000 0.5000 0.0000
Ba4 0.0000 0.5000 0.5000
Ba5 0.5000 0.0000 0.0000
Ba6 0.5000 0.0000 0.5000
Ba7 0.5000 0.5000 0.3277
Ba8 0.5000 0.5000 0.6723
H1 0.0000 0.0000 0.5000
H2 0.5000 0.5000 0.0000
O1 0.0000 0.0000 0.0655
O2 0.0000 0.0000 0.9345
O3 0.5000 0.5000 0.4345
O4 0.5000 0.5000 0.5655

***

Look up the total DFT energy (no corrections) of the second one.
-4.693 eV/atom